The following is a GGA-PBE calculation of crystalline KTaCu4 at its relaxed geometry, from the Alexandria database.

a b c (Å): 7.263 7.263 7.263
angles (deg): 90.00 90.00 90.00
Space group F-43m (No. 216)
Inequivalent atoms, fractional coordinates:
K 0.000 0.000 0.000 (multiplicity 4)
Ta 0.250 0.250 0.750 (multiplicity 4)
Cu 0.124 0.124 0.376 (multiplicity 16)

Results
E   -4.1641 eV per atom

The following is a GGA-PBE calculation of crystalline MgPdPt3 at its relaxed geometry, from the Alexandria database.

a b c (Å): 6.229 4.000 6.285
angles (deg): 90.00 90.60 90.00
Space group P2_1/m (No. 11)
Inequivalent atoms, fractional coordinates:
Mg 0.247 0.250 0.250 (multiplicity 2)
Pd 0.052 0.250 0.852 (multiplicity 2)
Pt 0.147 0.750 0.550 (multiplicity 2)
Pt 0.356 0.750 0.946 (multiplicity 2)
Pt 0.449 0.250 0.647 (multiplicity 2)

Results
E   -5.4107 eV per atom
Energy relative to the lowest polymorph listed for this composition   0 meV/atom

The following is a GGA-PBE calculation of crystalline KDy3Cl8 at its relaxed geometry, from the Alexandria database.

a b c (Å): 7.5508 7.5508 23.7433
angles (deg): 90.00 90.00 120.00
Space group R-3m (No. 166, hexagonal axes)
Inequivalent atoms, fractional coordinates:
K 0.0000 0.0000 0.0000 (multiplicity 3)
Dy 0.0000 0.5000 0.5000 (multiplicity 9)
Cl 0.0000 0.0000 0.2382 (multiplicity 6)
Cl 0.0016 0.5008 0.7666 (multiplicity 18)

Results
E   -4.5119 eV per atom

The following is a GGA-PBE calculation of crystalline BaCa3F at its relaxed geometry, from the Alexandria database.

a b c (Å): 5.626 5.626 5.626
angles (deg): 90.00 90.00 90.00
Space group Pm-3m (No. 221)
Inequivalent atoms, fractional coordinates:
Ba 0.000 0.000 0.000 (multiplicity 1)
Ca 0.000 0.500 0.500 (multiplicity 3)
F 0.500 0.500 0.500 (multiplicity 1)

Results
E   -2.8788 eV per atom
Energy relative to the lowest polymorph listed for this composition   0 meV/atom

What did the second record say?
The following is a GGA-PBE calculation of crystalline MgPdPt3 at its relaxed geometry, from the Alexandria database.

a b c (Å): 6.229 4.000 6.285
angles (deg): 90.00 90.60 90.00
Space group P2_1/m (No. 11)
Inequivalent atoms, fractional coordinates:
Mg 0.247 0.250 0.250 (multiplicity 2)
Pd 0.052 0.250 0.852 (multiplicity 2)
Pt 0.147 0.750 0.550 (multiplicity 2)
Pt 0.356 0.750 0.946 (multiplicity 2)
Pt 0.449 0.250 0.647 (multiplicity 2)

Results
E   -5.4107 eV per atom
Energy relative to the lowest polymorph listed for this composition   0 meV/atom

- Look up the E of the third one.
  -4.5119 eV per atom

- Look up the E of the first one.
  -4.1641 eV per atom

- What is the E in the first record?
  -4.1641 eV per atom